The following is a PBE+U calculation of an optimized crystal structure of AcNpCo2O8, from Alexandria.

Calculated values
SG = I-4m2, No. 119
size of the total moment = 7.9 μB/f.u.
total energy = -89.70 eV/cell

Structure (extended XYZ):
```
12
Lattice="-0.485 6.036 0.699 -4.421 -3.178 2.742 5.281 -1.695 2.530" Properties=species:S:1:pos:R:3 pbc="T T T"
O 0.387 2.587 4.041
O -1.397 -0.160 2.290
O 0.090 4.271 2.219
O 3.500 0.317 2.470
O 2.934 3.092 2.379
O -2.247 2.900 3.047
O 1.276 1.591 1.262
O 0.895 -0.730 4.137
Co 1.172 2.885 2.475
Co -2.453 1.429 1.721
Ac 0.000 0.000 0.000
Np -0.796 -1.722 3.497
```